Model one:
DFT (GGA-PBE) results for a relaxed CrCuSe2N crystal.

Structure (POSCAR):
```
CrCuSe2N
1.0
-2.943 3.845 -1.058
-1.367 -2.208 -4.222
-2.663 -1.574 1.686
Se Cu Cr N
2 1 1 1
direct
0.000 0.500 0.000
0.500 0.000 0.000
0.000 0.000 0.000
0.500 0.500 0.500
0.000 0.000 0.500
```

## Properties
ρ = 5.52 g/cm3
size of the total moment = 3.8 μB/cell


Model two:
DFT (GGA-PBE) results for a relaxed CrCuSe2N crystal.

Structure (POSCAR):
```
CrCuSe2N
1.0
-2.289 0.331 -4.345
-1.532 -4.656 0.452
-2.895 1.109 1.610
Cu Cr N Se
1 1 1 2
direct
0.500 0.500 0.500
0.000 0.000 0.000
0.000 0.000 0.500
0.500 0.000 0.000
0.000 0.500 0.000
```

## Properties
ρ = 5.64 g/cm3
size of the total moment = 0.7 μB/cell


Stability check: which of them is least stable? model one.


Model one:
DFT (GGA-PBE) results for a relaxed CrCuTeN2 crystal.

Structure (POSCAR):
```
CrCuTeN2
1.0
3.823 0.000 0.000
0.000 3.823 0.000
0.000 0.000 6.309
N Cu Te Cr
2 1 1 1
direct
0.000 0.500 0.000
0.500 0.000 0.000
0.000 0.000 0.000
0.000 0.000 0.500
0.500 0.500 0.500
```

## Properties
ρ = 4.88 g/cm3
size of the total moment = 7.4 μB/cell


Model two:
DFT (GGA-PBE) results for a relaxed CrCuTeN2 crystal.

Structure (POSCAR):
```
CrCuTeN2
1.0
3.669 0.000 0.000
0.000 3.669 0.000
0.000 0.000 5.577
Cr Cu N Te
1 1 2 1
direct
0.000 0.000 0.000
0.500 0.500 0.500
0.000 0.500 0.000
0.500 0.000 0.000
0.000 0.000 0.500
```

## Properties
ρ = 6.00 g/cm3
size of the total moment = 0.1 μB/cell


Stability check: which of them is least stable? model one.


Model one:
DFT (GGA-PBE) results for a relaxed NaCr2Cu crystal.

Structure (POSCAR):
```
NaCr2Cu
1.0
-1.241 -3.894 -1.197
-3.496 -0.482 -2.384
0.349 -1.188 -4.075
Cr Na Cu
2 1 1
direct
0.250 0.250 0.250
0.750 0.750 0.750
0.000 0.000 0.000
0.500 0.500 0.500
```

## Properties
ρ = 5.79 g/cm3
size of the total moment = 0.0 μB/cell


Model two:
DFT (GGA-PBE) results for a relaxed NaCr2Cu crystal.

Structure (POSCAR):
```
NaCr2Cu
1.0
3.474 0.000 0.000
0.000 3.474 0.000
1.737 1.737 9.862
Cr Na Cu
4 2 2
direct
0.680 0.625 0.250
0.375 0.930 0.750
0.070 0.125 0.250
0.875 0.320 0.750
0.250 0.750 0.500
0.500 0.500 0.000
0.000 0.000 0.000
0.750 0.250 0.500
```

## Properties
ρ = 5.32 g/cm3
size of the total moment = 0.0 μB/cell


Stability check: which of them is least stable? model one.


Model one:
DFT (GGA-PBE) results for a relaxed NbCr2Cu crystal.

Structure (POSCAR):
```
NbCr2Cu
1.0
6.770 0.000 0.000
0.000 6.770 0.000
3.385 3.385 2.529
Cr Nb Cu
4 2 2
direct
0.375 0.390 0.750
0.610 0.125 0.250
0.875 0.860 0.750
0.140 0.625 0.250
0.000 0.000 0.000
0.750 0.250 0.500
0.500 0.500 0.000
0.250 0.750 0.500
```

## Properties
ρ = 7.46 g/cm3
size of the total moment = 0.0 μB/cell


Model two:
DFT (GGA-PBE) results for a relaxed NbCr2Cu crystal.

Structure (POSCAR):
```
NbCr2Cu
1.0
0.000 3.034 3.034
3.034 0.000 3.034
3.034 3.034 0.000
Cr Nb Cu
2 1 1
direct
0.750 0.750 0.750
0.250 0.250 0.250
0.500 0.500 0.500
0.000 0.000 0.000
```

## Properties
ρ = 7.74 g/cm3
size of the total moment = 3.6 μB/cell


Stability check: which of them is least stable? model one.


Model one:
DFT (GGA-PBE) results for a relaxed NbCr3Cu crystal.

Structure (POSCAR):
```
NbCr3Cu
1.0
4.442 0.000 0.000
0.000 4.442 0.000
0.000 0.000 4.442
Cu Nb Cr
1 1 3
direct
0.000 0.000 0.000
0.500 0.500 0.500
0.000 0.000 0.500
0.500 0.000 0.000
0.000 0.500 0.000
```

## Properties
ρ = 5.92 g/cm3
size of the total moment = 8.7 μB/cell


Model two:
DFT (GGA-PBE) results for a relaxed NbCr3Cu crystal.

Structure (POSCAR):
```
NbCr3Cu
1.0
4.462 0.000 0.000
0.000 4.462 0.000
0.000 0.000 4.462
Cr Cu Nb
3 1 1
direct
0.000 0.500 0.000
0.000 0.000 0.500
0.500 0.000 0.000
0.500 0.500 0.500
0.000 0.000 0.000
```

## Properties
ρ = 5.84 g/cm3
size of the total moment = 0.0 μB/cell


Stability check: which of them is least stable? model two.